# 1
VASP calculation (PBE) on a relaxed Pr8C3O4 crystal.

Cell: 7.7511 7.7511 7.7511 Å, 56.75 56.75 56.75°
Last column: nearest neighbours and their distance in Å.
Fractional coordinates of all 15 atoms:
Pr1 0.2403 0.2403 0.2403  1 O 2.32, 3 C 2.56
Pr2 0.2432 0.7442 0.7442  3 O 2.46-2.74, 2 C 2.60
Pr3 0.2558 0.2558 0.7568  3 O 2.46-2.74, 2 C 2.60
Pr4 0.2558 0.7568 0.2558  3 O 2.46-2.74, 2 C 2.60
Pr5 0.7442 0.2432 0.7442  3 O 2.46-2.74, 2 C 2.60
Pr6 0.7442 0.7442 0.2432  3 O 2.46-2.74, 2 C 2.60
Pr7 0.7568 0.2558 0.2558  3 O 2.46-2.74, 2 C 2.60
Pr8 0.7597 0.7597 0.7597  1 O 2.32, 3 C 2.56
C1 0.0000 0.0000 0.5000  6 Pr 2.56-2.60
C2 0.0000 0.5000 0.0000  6 Pr 2.56-2.60
C3 0.5000 0.0000 0.0000  6 Pr 2.56-2.60
O1 0.0000 0.0000 0.0000  6 Pr 2.74
O2 0.3597 0.3597 0.3597  4 Pr 2.32-2.46
O3 0.5000 0.5000 0.5000  6 Pr 2.61, 2 O 2.73
O4 0.6403 0.6403 0.6403  4 Pr 2.32-2.46

Summary:
Volume, Å³ per cell: 305
Formation energy from raw total energies, eV/atom: -1.420
M_tot, μB/f.u.: 0.00
Electronic total energy, eV per formula unit: -107.04

=====

# 2
VASP calculation (PBE) on a relaxed Sm2PH crystal.

Cell: 3.9744 3.9744 18.2515 Å, 90.00 90.00 120.00°
Last column: nearest neighbours and their distance in Å.
Fractional coordinates of all 12 atoms:
Sm1 0.0000 0.0000 0.2470  3 H 2.72, 3 P 2.78
Sm2 0.0000 0.0000 0.7530  3 H 2.72, 3 P 2.78
Sm3 0.3333 0.6667 0.4197  3 H 2.72, 3 P 2.78
Sm4 0.3333 0.6667 0.9137  3 H 2.72, 3 P 2.78
Sm5 0.6667 0.3333 0.0863  3 H 2.72, 3 P 2.78
Sm6 0.6667 0.3333 0.5803  3 H 2.72, 3 P 2.78
P1 0.0000 0.0000 0.0000  6 Sm 2.78
P2 0.3333 0.6667 0.6667  6 Sm 2.78
P3 0.6667 0.3333 0.3333  6 Sm 2.78
H1 0.0000 0.0000 0.5000  6 Sm 2.72
H2 0.3333 0.6667 0.1667  6 Sm 2.72
H3 0.6667 0.3333 0.8333  6 Sm 2.72

Summary:
Volume, Å³ per cell: 250
E above lowest polymorph, meV/atom: 0
M_tot, μB/f.u.: 0.00
Electronic total energy, eV per formula unit: -22.00

=====

# 3
VASP calculation (PBE) on a relaxed InSnPdRu crystal.

Cell: 6.5521 6.5521 6.5521 Å, 90.00 90.00 90.00°
Last column: nearest neighbours and their distance in Å.
Fractional coordinates of all 16 atoms:
In1 0.0000 0.0000 0.0000  4 Pd 2.84, 4 Ru 2.84
In2 0.0000 0.5000 0.5000  4 Pd 2.84, 4 Ru 2.84
In3 0.5000 0.0000 0.5000  4 Pd 2.84, 4 Ru 2.84
In4 0.5000 0.5000 0.0000  4 Pd 2.84, 4 Ru 2.84
Sn1 0.0000 0.0000 0.5000  4 Ru 2.84, 4 Pd 2.84
Sn2 0.0000 0.5000 0.0000  4 Ru 2.84, 4 Pd 2.84
Sn3 0.5000 0.0000 0.0000  4 Ru 2.84, 4 Pd 2.84
Sn4 0.5000 0.5000 0.5000  4 Ru 2.84, 4 Pd 2.84
Pd1 0.2500 0.2500 0.2500  4 Sn 2.84, 4 In 2.84
Pd2 0.2500 0.7500 0.7500  4 In 2.84, 4 Sn 2.84
Pd3 0.7500 0.2500 0.7500  4 In 2.84, 4 Sn 2.84
Pd4 0.7500 0.7500 0.2500  4 In 2.84, 4 Sn 2.84
Ru1 0.2500 0.2500 0.7500  4 In 2.84, 4 Sn 2.84
Ru2 0.2500 0.7500 0.2500  4 In 2.84, 4 Sn 2.84
Ru3 0.7500 0.2500 0.2500  4 In 2.84, 4 Sn 2.84
Ru4 0.7500 0.7500 0.7500  4 In 2.84, 4 Sn 2.84

Summary:
Volume, Å³ per cell: 281
M_tot, μB/f.u.: 0.00
Formation enthalpy at 0 K, eV per atom: -0.171
Electronic total energy, eV per formula unit: -21.90

=====

# 4
VASP calculation (PBE) on a relaxed Sm4AlNi crystal.

Cell: 7.1107 7.3230 6.9040 Å, 90.00 95.39 90.00°
Last column: nearest neighbours and their distance in Å.
Fractional coordinates of all 12 atoms:
Sm1 0.1574 0.1735 0.1914  2 Ni 2.80-2.90
Sm2 0.1574 0.3265 0.6914  2 Ni 2.80-2.90
Sm3 0.3239 0.6493 0.1080  1 Ni 2.60
Sm4 0.3239 0.8507 0.6080  1 Ni 2.60
Sm5 0.6761 0.1493 0.3920  1 Ni 2.60
Sm6 0.6761 0.3507 0.8920  1 Ni 2.60
Sm7 0.8426 0.6735 0.3086  2 Ni 2.80-2.90
Sm8 0.8426 0.8265 0.8086  2 Ni 2.80-2.90
Al1 0.5000 0.0000 0.0000  6 Sm 2.98-3.15
Al2 0.5000 0.5000 0.5000  6 Sm 2.98-3.15
Ni1 0.0000 0.0000 0.5000  6 Sm 2.60-2.90
Ni2 0.0000 0.5000 0.0000  6 Sm 2.60-2.90

Summary:
Volume, Å³ per cell: 358
E above lowest polymorph, meV/atom: 203
M_tot, μB/f.u.: 0.00
Formation enthalpy at 0 K, eV per atom: -0.071
Electronic total energy, eV per formula unit: -28.83

=====

# 5
VASP calculation (PBE) on a relaxed Mg2SbCl crystal.

Cell: 7.1449 7.1449 7.1449 Å, 90.00 90.00 90.00°
Last column: nearest neighbours and their distance in Å.
Fractional coordinates of all 16 atoms:
Mg1 0.2500 0.2500 0.2500  4 Cl 3.09, 4 Sb 3.09
Mg2 0.2500 0.2500 0.7500  4 Cl 3.09, 4 Sb 3.09
Mg3 0.2500 0.7500 0.2500  4 Cl 3.09, 4 Sb 3.09
Mg4 0.2500 0.7500 0.7500  4 Cl 3.09, 4 Sb 3.09
Mg5 0.7500 0.2500 0.2500  4 Cl 3.09, 4 Sb 3.09
Mg6 0.7500 0.2500 0.7500  4 Cl 3.09, 4 Sb 3.09
Mg7 0.7500 0.7500 0.2500  4 Cl 3.09, 4 Sb 3.09
Mg8 0.7500 0.7500 0.7500  4 Cl 3.09, 4 Sb 3.09
Sb1 0.0000 0.0000 0.0000  8 Mg 3.09
Sb2 0.0000 0.5000 0.5000  8 Mg 3.09
Sb3 0.5000 0.0000 0.5000  8 Mg 3.09
Sb4 0.5000 0.5000 0.0000  8 Mg 3.09
Cl1 0.0000 0.0000 0.5000  8 Mg 3.09
Cl2 0.0000 0.5000 0.0000  8 Mg 3.09
Cl3 0.5000 0.0000 0.0000  8 Mg 3.09
Cl4 0.5000 0.5000 0.5000  8 Mg 3.09

Summary:
Volume, Å³ per cell: 365
Formation energy from raw total energies, eV/atom: -0.544
E above lowest polymorph, meV/atom: 197
M_tot, μB/f.u.: 0.00
Electronic total energy, eV per formula unit: -11.33

=====

# 6
VASP calculation (PBE) on a relaxed NaYPu2Se4 crystal.

Cell: 7.1625 4.1517 7.2670 Å, 90.00 109.59 90.00°
Last column: nearest neighbours and their distance in Å.
Fractional coordinates of all 8 atoms:
Na1 0.0000 0.0000 0.0000  6 Se 2.94-2.96
Y1 0.0000 0.5000 0.5000  6 Se 2.91-2.92
Pu1 0.5000 0.0000 0.5000  6 Se 2.92-2.95
Pu2 0.5000 0.5000 0.0000  6 Se 2.96-2.99
Se1 0.2464 0.0000 0.7472  2 Y 2.92, 1 Na 2.94, 3 Pu 2.95-2.96
Se2 0.2499 0.5000 0.2569  1 Y 2.91, 3 Pu 2.92-2.99, 2 Na 2.96
Se3 0.7501 0.5000 0.7431  1 Y 2.91, 3 Pu 2.92-2.99, 2 Na 2.96
Se4 0.7536 0.0000 0.2528  2 Y 2.92, 1 Na 2.94, 3 Pu 2.95-2.96

Summary:
Volume, Å³ per cell: 204
Formation energy from raw total energies, eV/atom: -1.540
M_tot, μB/f.u.: 0.17
Electronic total energy, eV per formula unit: -62.70

=====

# 7
VASP calculation (PBE) on a relaxed AgHgMo2Cl crystal.

Cell: 4.3948 4.3948 5.5153 Å, 90.00 90.00 90.00°
Last column: nearest neighbours and their distance in Å.
Fractional coordinates of all 5 atoms:
Ag1 0.0000 0.0000 0.0000  4 Hg 3.11
Hg1 0.5000 0.5000 0.0000  2 Cl 2.76
Mo1 0.0000 0.5000 0.5000  2 Cl 2.20
Mo2 0.5000 0.0000 0.5000  2 Cl 2.20
Cl1 0.5000 0.5000 0.5000  4 Mo 2.20

Summary:
Volume, Å³ per cell: 107
Formation energy from raw total energies, eV/atom: 1.295
M_tot, μB/f.u.: 0.49
Electronic total energy, eV per formula unit: -20.19

=====

# 8
VASP calculation (PBE) on a relaxed Na3CdPd4 crystal.

Cell: 5.7240 9.4947 5.5968 Å, 90.00 90.00 90.00°
Last column: nearest neighbours and their distance in Å.
Fractional coordinates of all 16 atoms:
Na1 0.0000 0.0000 0.0000  2 Pd 2.75, 2 Na 2.77, 2 Cd 2.89
Na2 0.0000 0.2643 0.7892  6 Pd 2.76-2.94, 1 Na 2.77, 1 Cd 3.00
Na3 0.0000 0.7357 0.7892  6 Pd 2.76-2.94, 1 Na 2.77, 1 Cd 3.00
Na4 0.5000 0.2357 0.2892  6 Pd 2.76-2.94, 1 Na 2.77, 1 Cd 3.00
Na5 0.5000 0.5000 0.5000  2 Pd 2.75, 2 Na 2.77, 2 Cd 2.89
Na6 0.5000 0.7643 0.2892  6 Pd 2.76-2.94, 1 Na 2.77, 1 Cd 3.00
Cd1 0.0000 0.5000 0.4314  4 Pd 2.67-2.79, 2 Na 2.89
Cd2 0.5000 0.0000 0.9314  4 Pd 2.67-2.79, 2 Na 2.89
Pd1 0.0000 0.2292 0.3001  1 Cd 2.67, 5 Na 2.75-2.88, 2 Pd 2.84
Pd2 0.0000 0.7708 0.3001  1 Cd 2.67, 5 Na 2.75-2.88, 2 Pd 2.84
Pd3 0.2449 0.0000 0.5072  1 Cd 2.79, 4 Pd 2.80-2.92, 3 Na 2.94-3.09
Pd4 0.2551 0.5000 0.0072  1 Cd 2.79, 4 Pd 2.80-2.92, 3 Na 2.94-3.09
Pd5 0.5000 0.2708 0.8001  1 Cd 2.67, 5 Na 2.75-2.88, 2 Pd 2.84
Pd6 0.5000 0.7292 0.8001  1 Cd 2.67, 5 Na 2.75-2.88, 2 Pd 2.84
Pd7 0.7449 0.5000 0.0072  1 Cd 2.79, 4 Pd 2.80-2.92, 3 Na 2.94-3.09
Pd8 0.7551 0.0000 0.5072  1 Cd 2.79, 4 Pd 2.80-2.92, 3 Na 2.94-3.09

Summary:
Volume, Å³ per cell: 304
M_tot, μB/f.u.: 0.00
Formation enthalpy at 0 K, eV per atom: -0.022
Electronic total energy, eV per formula unit: -25.82